Computed, not measured: an optimized crystal structure of La4Tl2CdHg at the GGA-PBE level of DFT.

Output
E_form = -426.1 meV per atom
E_tot = -3.63 eV per atom

Lattice parameters (Å, degrees): 5.5972 5.5972 27.4151 90.00 90.00 120.00
Space group R-3m (No. 166, hexagonal axes)
Symmetry-distinct sites (fractional):
La1 0.0000 0.0000 0.1235 x6
La2 0.0000 0.0000 0.3735 x6
Tl1 0.0000 0.0000 0.2479 x6
Cd1 0.0000 0.0000 0.5000 x3
Hg1 0.0000 0.0000 0.0000 x3